No. 1
## LiCuHgB (PBE-GGA)

Data for a relaxed LiCuHgB crystal.

Values from the calculation:
Crystal system: cubic
Calculated total energy: -2.67 eV per atom
E above lowest polymorph: 0.00 eV per formula unit

Lattice parameters (Å, degrees): 5.8285 5.8285 5.8285 90.00 90.00 90.00
Closest atoms and distances in Å follow each position.
Space group F-43m (No. 216)
One atom of each set of equivalent atoms:
Li1 0.0000 0.0000 0.0000 (multiplicity 4)  4 Hg 2.52, 4 Cu 2.52
Cu1 0.2500 0.2500 0.7500 (multiplicity 4)  4 Li 2.52, 4 B 2.52
Hg1 0.2500 0.2500 0.2500 (multiplicity 4)  4 Li 2.52, 4 B 2.52
B1 0.0000 0.0000 0.5000 (multiplicity 4)  4 Hg 2.52, 4 Cu 2.52

***

No. 2
## RbGaTc (PBE-GGA)

Data for a relaxed RbGaTc crystal.

Values from the calculation:
Crystal system: cubic
Total magnetic moment: 2.6 μB per formula unit
Calculated total energy: -3.39 eV per atom
E above lowest polymorph: 0.00 eV per formula unit

Lattice parameters (Å, degrees): 6.9745 6.9745 6.9745 90.00 90.00 90.00
Closest atoms and distances in Å follow each position.
Space group F-43m (No. 216)
One atom of each set of equivalent atoms:
Rb1 0.0000 0.0000 0.0000 (multiplicity 4)  4 Tc 3.02
Ga1 0.0000 0.0000 0.5000 (multiplicity 4)  4 Tc 3.02
Tc1 0.2500 0.2500 0.7500 (multiplicity 4)  4 Rb 3.02, 4 Ga 3.02

***

No. 3
## HfTaAlCo (PBE-GGA)

Data for a relaxed HfTaAlCo crystal.

Values from the calculation:
Crystal system: cubic
Total magnetic moment: 2.9 μB per formula unit
Calculated total energy: -8.09 eV per atom
E above lowest polymorph: 0.00 eV per formula unit

Lattice parameters (Å, degrees): 6.3953 6.3953 6.3953 90.00 90.00 90.00
Closest atoms and distances in Å follow each position.
Space group F-43m (No. 216)
One atom of each set of equivalent atoms:
Hf1 0.0000 0.0000 0.0000 (multiplicity 4)  4 Co 2.77, 4 Ta 2.77
Ta1 0.2500 0.2500 0.2500 (multiplicity 4)  4 Hf 2.77, 4 Al 2.77
Al1 0.0000 0.0000 0.5000 (multiplicity 4)  4 Ta 2.77, 4 Co 2.77
Co1 0.2500 0.2500 0.7500 (multiplicity 4)  4 Al 2.77, 4 Hf 2.77

***

No. 4
## GdGeTe (PBE-GGA)

Data for a relaxed GdGeTe crystal.

Values from the calculation:
Crystal system: cubic
Total magnetic moment: 0.0 μB per formula unit
Calculated total energy: -4.48 eV per atom

Lattice parameters (Å, degrees): 7.1603 7.1603 7.1603 90.00 90.00 90.00
Closest atoms and distances in Å follow each position.
Space group F-43m (No. 216)
One atom of each set of equivalent atoms:
Gd1 0.0000 0.0000 0.0000 (multiplicity 4)  4 Ge 3.10, 4 Te 3.10
Ge1 0.2500 0.2500 0.7500 (multiplicity 4)  4 Gd 3.10
Te1 0.2500 0.2500 0.2500 (multiplicity 4)  4 Gd 3.10

***

No. 5
## NaMgIr (PBE-GGA)

Data for a relaxed NaMgIr crystal.

Values from the calculation:
Crystal system: cubic
Total magnetic moment: 0.0 μB per formula unit
Calculated total energy: -3.41 eV per atom
E above lowest polymorph: 0.00 eV per formula unit

Lattice parameters (Å, degrees): 6.3761 6.3761 6.3761 90.00 90.00 90.00
Closest atoms and distances in Å follow each position.
Space group F-43m (No. 216)
One atom of each set of equivalent atoms:
Na1 0.0000 0.0000 0.0000 (multiplicity 4)  4 Ir 2.76
Mg1 0.0000 0.0000 0.5000 (multiplicity 4)  4 Ir 2.76
Ir1 0.2500 0.2500 0.7500 (multiplicity 4)  4 Na 2.76, 4 Mg 2.76

***

No. 6
## Zn11Ni2 (PBE-GGA)

Data for a relaxed Zn11Ni2 crystal.

Values from the calculation:
Crystal system: cubic
Total magnetic moment: 0.0 μB per formula unit
ΔE_f: -0.1539 eV per atom
Calculated total energy: -2.08 eV per atom

Lattice parameters (Å, degrees): 8.9126 8.9126 8.9126 90.00 90.00 90.00
Closest atoms and distances in Å follow each position.
Space group I-43m (No. 217)
One atom of each set of equivalent atoms:
Zn1 0.0000 0.0000 0.3554 (multiplicity 12)  9 Zn 2.58-2.80, 2 Ni 2.71
Zn2 0.0444 0.3070 0.6930 (multiplicity 24)  2 Ni 2.54-2.57, 8 Zn 2.59-2.80
Zn3 0.1050 0.1050 0.8950 (multiplicity 8)  9 Zn 2.59-2.65, 3 Ni 2.61
Ni1 0.1719 0.1719 0.1719 (multiplicity 8)  12 Zn 2.54-2.71

***

No. 7
## ScFeBOs (PBE-GGA)

Data for a relaxed ScFeBOs crystal.

Values from the calculation:
Crystal system: cubic
Total magnetic moment: 1.8 μB per formula unit
Calculated total energy: -7.75 eV per atom
E above lowest polymorph: 0.00 eV per formula unit

Lattice parameters (Å, degrees): 5.8445 5.8445 5.8445 90.00 90.00 90.00
Closest atoms and distances in Å follow each position.
Space group F-43m (No. 216)
One atom of each set of equivalent atoms:
Sc1 0.0000 0.0000 0.0000 (multiplicity 4)  4 Fe 2.53, 4 Os 2.53
Fe1 0.2500 0.2500 0.7500 (multiplicity 4)  4 Sc 2.53, 4 B 2.53
B1 0.0000 0.0000 0.5000 (multiplicity 4)  4 Fe 2.53, 4 Os 2.53
Os1 0.2500 0.2500 0.2500 (multiplicity 4)  4 B 2.53, 4 Sc 2.53